VASP calculation (PBE-GGA) on an optimized crystal structure of KBeW2.

a b c (Å): 4.551 4.551 7.465
angles (deg): 87.39 87.39 34.35
Fractional coordinates of all 4 atoms:
W 0.761 0.761 0.729
Be 0.489 0.489 0.621
K 0.242 0.242 0.254
W 0.009 0.009 0.896

Properties
Crystal system ... monoclinic
DOS(E_F) ... 0.826 states/eV/atom
Formation energy ... 3.84 eV per formula unit

VASP calculation (PBE-GGA) on an optimized crystal structure of Cs2PaTiO6.

a b c (Å): 5.743 6.687 6.687
angles (deg): 120.00 90.00 90.00
Fractional coordinates of all 10 atoms:
O 0.231 0.872 0.128
O 0.769 0.128 0.872
O 0.769 0.128 0.257
O 0.231 0.257 0.128
Pa 0.500 0.000 0.000
Ti 0.000 0.000 0.000
O 0.769 0.743 0.872
Cs 0.851 0.667 0.333
Cs 0.149 0.333 0.667
O 0.231 0.872 0.743

Properties
Crystal system ... trigonal
Formation energy without anion corrections ... -2.524 eV/atom
DOS(E_F) ... 0.330 states/eV/atom

VASP calculation (PBE-GGA) on an optimized crystal structure of GaNiPt6.

a b c (Å): 3.913 3.913 7.845
angles (deg): 90.00 90.00 90.00
Each line ends with the local moment (μB).
Fractional coordinates of all 8 atoms:
Pt 0.500 0.500 0.500  0.15
Pt 0.500 0.500 0.000  0.09
Ga 0.000 0.000 0.000  0.00
Pt 0.500 0.000 0.253  0.11
Pt 0.500 0.000 0.747  0.11
Pt 0.000 0.500 0.253  0.11
Ni 0.000 0.000 0.500  0.65
Pt 0.000 0.500 0.747  0.11

Properties
Crystal system ... tetragonal
Excess energy over the best structure of this formula in the dataset ... 0.000 eV per atom
DOS(E_F) ... 1.571 states/eV/atom
Formation energy ... -1.85 eV per formula unit

VASP calculation (PBE-GGA) on an optimized crystal structure of Cr2RuRhN.

a b c (Å): 3.866 3.866 3.952
angles (deg): 90.00 90.00 90.00
Each line ends with the local moment (μB).
Fractional coordinates of all 5 atoms:
Rh 0.500 0.500 0.500  0.02
Ru 0.000 0.000 0.500  -0.26
Cr 0.500 0.000 0.000  0.91
N 0.000 0.000 0.000  -0.04
Cr 0.000 0.500 0.000  0.91

Properties
Crystal system ... tetragonal
Formation energy without anion corrections ... -0.093 eV/atom
DOS(E_F) ... 0.883 states/eV/atom

VASP calculation (PBE-GGA) on an optimized crystal structure of RbTl2Se2.

a b c (Å): 5.648 5.648 6.586
angles (deg): 64.61 64.61 90.00
Fractional coordinates of all 5 atoms:
Se 0.250 0.750 0.500
Rb 0.000 0.000 0.000
Tl 0.650 0.650 0.700
Tl 0.350 0.350 0.300
Se 0.750 0.250 0.500

Properties
Crystal system ... tetragonal
Excess energy over the best structure of this formula in the dataset ... 0.048 eV per atom
Formation energy without anion corrections ... -0.517 eV/atom
DOS(E_F) ... 0.418 states/eV/atom

VASP calculation (PBE-GGA) on an optimized crystal structure of Mn2HgSb.

a b c (Å): 3.502 3.502 6.094
angles (deg): 90.00 90.00 89.97
Each line ends with the local moment (μB).
Fractional coordinates of all 4 atoms:
Sb 0.500 0.500 0.250  -0.11
Hg 0.500 0.500 0.750  -0.04
Mn 0.000 0.000 0.015  3.47
Mn 0.000 0.000 0.485  3.47

Properties
Crystal system ... tetragonal
Excess energy over the best structure of this formula in the dataset ... 0.069 eV per atom
Formation energy without anion corrections ... 0.315 eV/atom
DOS(E_F) ... 0.642 states/eV/atom

VASP calculation (PBE-GGA) on an optimized crystal structure of Mn2SiW.

a b c (Å): 4.099 2.670 4.770
angles (deg): 77.27 90.00 90.00
Each line ends with the local moment (μB).
Fractional coordinates of all 4 atoms:
Mn 0.500 0.320 0.245  -1.09
W 0.500 0.796 0.744  -0.01
Si 0.000 0.378 0.490  -0.01
Mn 0.000 0.006 0.021  1.18

Properties
Crystal system ... monoclinic
Formation energy without anion corrections ... -0.050 eV/atom
DOS(E_F) ... 0.740 states/eV/atom

VASP calculation (PBE-GGA) on an optimized crystal structure of MgZrZn2Au2.

a b c (Å): 4.497 4.497 6.201
angles (deg): 90.00 90.00 120.00
Fractional coordinates of all 6 atoms:
Au 0.667 0.333 0.756
Zn 0.333 0.667 0.748
Au 0.333 0.667 0.244
Zr 0.000 0.000 0.000
Mg 0.000 0.000 0.500
Zn 0.667 0.333 0.252

Properties
Crystal system ... trigonal
DOS(E_F) ... 0.511 states/eV/atom
Formation energy ... -2.57 eV per formula unit